1.
The following is a PBE-GGA calculation of LaCr after structural relaxation, from Alexandria via LeMat-Bulk.

abc: 6.0617 6.0617 5.9769
angles: 90.00 90.00 90.00
Atoms (fractional coordinates):
La1 0.1844 0.1844 0.0000
La2 0.3156 0.6844 0.5000
La3 0.6844 0.3156 0.5000
La4 0.8156 0.8156 0.0000
Cr1 0.1116 0.1116 0.5000
Cr2 0.3884 0.6116 0.0000
Cr3 0.6116 0.3884 0.0000
Cr4 0.8884 0.8884 0.5000

Properties
As for the total energy: -50.973 eV/cell. As for the space group: P4_2/mnm. As for the energy of formation: 904 meV/atom.

2.
The following is a PBE-GGA calculation of LaCr after structural relaxation, from Alexandria via LeMat-Bulk.

abc: 5.2341 5.2341 5.2341
angles: 60.00 60.00 60.00
Atoms (fractional coordinates):
La1 0.1250 0.1250 0.1250
La2 0.8750 0.8750 0.8750
Cr1 0.3750 0.3750 0.3750
Cr2 0.6250 0.6250 0.6250

Properties
As for the total energy: -26.605 eV/cell. As for the space group: Fd-3m. As for the energy of formation: 624 meV/atom.

3.
The following is a PBE-GGA calculation of LaCr2 after structural relaxation, from Alexandria via LeMat-Bulk.

abc: 3.2732 3.2732 7.4008
angles: 90.00 90.00 120.00
Atoms (fractional coordinates):
La1 0.0000 0.0000 0.0000
Cr1 0.3333 0.6667 0.6532
Cr2 0.6667 0.3333 0.3468

Properties
As for the total energy: -20.815 eV/cell. As for the space group: P-3m1. As for the energy of formation: 1120 meV/atom.